No. 1
Li4YPd2 PBE relaxed; E = -27.29 eV per cell; total moment = 0.00 μB/atom; DOS at the Fermi energy = 2.96 states/eV per cell; ΔE_f = -0.398 eV/atom; calculated density = 4.3 g cm⁻³
1.0
-3.354 1.475 -1.483
-2.001 -2.566 1.972
0.494 6.698 5.546
Li Pd Y
4 2 1
Direct
0.000 0.675 0.351
0.500 0.184 0.368
0.500 0.816 0.632
0.000 0.325 0.649
0.500 0.421 0.842
0.500 0.579 0.158
0.000 0.000 0.000



No. 2
Li4YPd PBE relaxed; E = -19.90 eV per cell; total moment = 0.00 μB/atom; DOS at the Fermi energy = 5.19 states/eV per cell; ΔE_f = -0.097 eV/atom; calculated density = 3.6 g cm⁻³
1.0
5.278 0.000 0.000
2.639 4.571 0.000
2.639 1.524 4.309
Li Pd Y
4 1 1
Direct
0.628 0.628 0.628
0.628 0.628 0.117
0.628 0.117 0.628
0.117 0.628 0.628
0.000 0.000 0.000
0.250 0.250 0.250



No. 3
Li2YPd2 PBE relaxed; E = -45.90 eV per cell; total moment = 0.00 μB/atom; DOS at the Fermi energy = 2.81 states/eV per cell; ΔE_f = -0.454 eV/atom; calculated density = 6.1 g cm⁻³; energy above the lowest structure with this stoichiometry = 0.120 eV/atom
1.0
-5.885 3.436 3.218
0.219 -4.946 5.682
1.901 1.831 1.521
Y Pd Li
2 4 4
Direct
0.500 0.500 0.000
0.000 0.000 0.000
0.337 0.837 0.000
0.663 0.163 0.000
0.163 0.337 0.000
0.837 0.663 0.000
0.629 0.871 0.500
0.871 0.371 0.500
0.129 0.629 0.500
0.371 0.129 0.500